The following is a PBE-GGA calculation of a relaxed HgGeN2 crystal, from Alexandria.

Unit cell a=3.1186 b=3.1186 c=18.4981 alpha=90.00 beta=90.00 gamma=120.00
Element x y z (fractional)
Hg 0.0000 0.0000 0.0000
Hg 0.3333 0.6667 0.6667
Hg 0.6667 0.3333 0.3333
Ge 0.0000 0.0000 0.5000
Ge 0.3333 0.6667 0.1667
Ge 0.6667 0.3333 0.8333
N 0.0000 0.0000 0.1128
N 0.0000 0.0000 0.8872
N 0.3333 0.6667 0.5538
N 0.3333 0.6667 0.7795
N 0.6667 0.3333 0.2205
N 0.6667 0.3333 0.4462

**Space-group type**: R-3m
**Polymorph energy (0 for the lowest one)**: 83 meV per atom
**Mass density**: 9632 kg/m3
**DOS at the Fermi energy**: 0.00 states/eV per cell
**Crystal system**: trigonal
**ΔE_f (raw)**: 0.4865 eV/atom